Record 1
TbTm5Al4, relaxed, DFT PBE; raw total energy = -45.08 eV per cell; ΔE_f = -3.12 eV per formula unit; size of the total moment = 0.00 μB per formula unit
1.0
-0.719 2.760 2.083
-3.340 -1.104 0.311
4.918 -10.487 15.593
Tm Al Tb
5 4 1
Direct
0.500 0.500 0.871
0.500 0.500 0.129
0.500 0.500 0.684
0.500 0.500 0.500
0.500 0.500 0.316
0.000 0.000 0.222
0.000 0.000 0.778
0.000 0.000 0.592
0.000 0.000 0.408
0.000 0.000 0.000

=====

Record 2
NbCuBI2, relaxed, DFT PBE; raw total energy = -18.44 eV per cell; formation energy from raw total energies = 1101 meV/atom; size of the total moment = 3.12 μB per formula unit
1.0
5.354 0.000 0.000
0.000 3.869 0.000
0.000 0.000 5.354
Nb Cu B I
1 1 1 2
Direct
0.500 0.500 0.500
0.000 0.500 0.000
0.000 0.000 0.000
0.500 0.000 0.000
0.000 0.000 0.500

=====

Record 3
AcHg14Pb, relaxed, DFT PBE; raw total energy = -13.50 eV per cell; ΔE_f = -1.46 eV per formula unit; size of the total moment = 0.00 μB per formula unit
1.0
-1.746 1.327 -6.683
-1.391 -6.822 -0.999
-8.354 1.345 2.449
Hg Ac Pb
14 1 1
Direct
0.629 0.121 0.763
0.629 0.121 0.237
0.375 0.875 0.000
0.375 0.875 0.500
0.122 0.122 0.238
0.375 0.375 0.000
0.875 0.375 0.000
0.121 0.629 0.763
0.875 0.375 0.500
0.628 0.628 0.238
0.628 0.628 0.762
0.875 0.875 0.000
0.122 0.122 0.762
0.121 0.629 0.237
0.375 0.375 0.500
0.875 0.875 0.500

=====

Record 4
VOsWN2, relaxed, DFT PBE; raw total energy = -44.16 eV per cell; formation energy from raw total energies = 1158 meV/atom; size of the total moment = 0.00 μB per formula unit
1.0
-0.741 -3.603 1.002
-0.827 -1.243 -5.082
3.692 -0.868 -0.389
N Os W V
2 1 1 1
Direct
0.000 0.000 0.500
0.500 0.000 0.000
0.000 0.500 0.000
0.000 0.000 0.000
0.500 0.500 0.500